# PmCo2H6

A relaxed PmCo2H6 crystal (GGA-PBE, Alexandria).

## Properties
Space-group type: C2/m
Calculated total energy, eV per atom: -4.637
Energy relative to the lowest polymorph listed for this composition, meV per atom: 0.0
DOS(E_F), states/eV/cell: 3.683

Unit cell a=4.4518 b=4.4518 c=4.2064 alpha=90.04 beta=90.04 gamma=121.73
With the nearest neighbours (Å) after each atom.
Positions (direct):
Pm 0.0000 0.0000 0.0000  12 H 2.42-2.46
Co 0.3342 0.6658 0.5000  6 H 1.62-1.65
Co 0.6658 0.3342 0.5000  6 H 1.62-1.65
H 0.9996 0.4999 0.2483  2 Co 1.65
H 0.0004 0.5001 0.7517  2 Co 1.65
H 0.2757 0.2757 0.5005  2 Co 1.62
H 0.4999 0.9996 0.2483  2 Co 1.65
H 0.5001 0.0004 0.7517  2 Co 1.65
H 0.7243 0.7243 0.4995  2 Co 1.62